## i
Compound: CaNiIO2
Source: Alexandria via LeMat-Bulk
Functional: GGA+U
Structure: optimized geometry

Cell: 4.317 4.317 6.746 Å, 90.00 90.00 90.00°
Fractional coordinates of all 5 atoms:
I  0.000  0.000  0.500
Ni  0.500  0.500  0.500
Ca  0.000  0.000  0.000
O  0.000  0.500  0.000
O  0.500  0.000  0.000

Properties
Crystal system   tetragonal
Symmetry   P4/mmm (123)

---

## ii
Compound: CaNiIO2
Source: Alexandria via LeMat-Bulk
Functional: GGA+U
Structure: optimized geometry

Cell: 4.179 4.179 5.247 Å, 90.00 90.00 90.00°
Fractional coordinates of all 5 atoms:
I  0.000  0.000  0.500
Ni  0.000  0.000  0.000
Ca  0.500  0.500  0.500
O  0.000  0.500  0.000
O  0.500  0.000  0.000

Properties
Crystal system   tetragonal
Symmetry   P4/mmm (123)

---

Question: of the structures shown, which is the least stable? Reply: i.